[1]
First-principles (PBEsol) data for a geometry-optimized Li2MgTi3O8 structure, as listed in Alexandria via LeMat-Bulk.

crystal system = trigonal
theoretical density = 3.54 g cm⁻³
total magnetic moment = 0.0 μB/f.u.
formation energy from raw total energies = -2829.3 meV/atom
space group = R3m
energy above the lowest structure with this stoichiometry = 37 meV/atom

```
Li2MgTi3O8
1.0
2.9585 1.7081 4.7881
-2.9585 1.7081 4.7881
0.0000 -3.4161 4.7881
Li Mg Ti O
2 1 3 8
direct
0.0000 0.0000 0.0000 Li
0.3825 0.3825 0.3825 Li
0.6190 0.6190 0.6190 Mg
0.0025 0.0025 0.4956 Ti
0.0025 0.4956 0.0025 Ti
0.4956 0.0025 0.0025 Ti
0.2123 0.7549 0.7549 O
0.2423 0.2423 0.2423 O
0.2503 0.2503 0.7907 O
0.2503 0.7907 0.2503 O
0.7549 0.2123 0.7549 O
0.7549 0.7549 0.2123 O
0.7586 0.7586 0.7586 O
0.7907 0.2503 0.2503 O
```

=====

[2]
First-principles (PBEsol) data for a geometry-optimized BeNb2Cd structure, as listed in Alexandria via LeMat-Bulk.

crystal system = cubic
theoretical density = 7.86 g cm⁻³
total magnetic moment = 0.0 μB/f.u.
space group = Fm-3m
DFT formation energy = 0.43 eV/atom

```
BeNb2Cd
1.0
0.0000 3.1898 3.1898
3.1898 0.0000 3.1898
3.1898 3.1898 0.0000
Be Nb Cd
1 2 1
direct
0.0000 0.0000 0.0000 Be
0.2500 0.2500 0.2500 Nb
0.7500 0.7500 0.7500 Nb
0.5000 0.5000 0.5000 Cd
```

=====

[3]
First-principles (PBEsol) data for a geometry-optimized TmPd2Pb structure, as listed in Alexandria via LeMat-Bulk.

crystal system = cubic
theoretical density = 12.92 g cm⁻³
total magnetic moment = 0.0 μB/f.u.
space group = Fm-3m
DFT formation energy = -0.72 eV/atom

```
TmPd2Pb
1.0
0.0000 3.3578 3.3578
3.3578 0.0000 3.3578
3.3578 3.3578 0.0000
Tm Pd Pb
1 2 1
direct
0.0000 0.0000 0.0000 Tm
0.2500 0.2500 0.2500 Pd
0.7500 0.7500 0.7500 Pd
0.5000 0.5000 0.5000 Pb
```

=====

[4]
First-principles (PBEsol) data for a geometry-optimized TcSb2As structure, as listed in Alexandria via LeMat-Bulk.

crystal system = tetragonal
theoretical density = 8.60 g cm⁻³
total magnetic moment = 0.0 μB/f.u.
formation energy from raw total energies = 22.1 meV/atom
space group = P4mm
energy above the lowest structure with this stoichiometry = 0 meV/atom

```
TcSb2As
1.0
3.1736 0.0000 0.0000
0.0000 3.1736 0.0000
0.0000 0.0000 7.9839
Tc Sb As
1 2 1
direct
0.0000 0.0000 0.0000 Tc
0.0000 0.0000 0.4341 Sb
0.5000 0.5000 0.7805 Sb
0.5000 0.5000 0.1621 As
```